1.
DFT (GGA-PBE) results for a relaxed Li2Ac2Pb3 crystal.

Lattice parameters (Å, degrees): 6.4006 6.4006 7.9463 111.51 111.51 43.66
Sites, in units of the cell vectors:
Li (0.1405, 0.1405, 0.2495)
Li (0.8595, 0.8595, 0.7505)
Ac (0.1462, 0.1462, 0.7797)
Ac (0.8538, 0.8538, 0.2203)
Pb (0.3814, 0.3814, 0.5460)
Pb (0.5000, 0.5000, 0.0000)
Pb (0.6186, 0.6186, 0.4540)

Summary:
Energy above the most stable polymorph in this dataset, meV/atom: 121
V, Å³/atom: 29.5
Density of states at the Fermi level, states/eV/cell: 3.2
Formation energy from the elements, eV per atom: -0.3815
Raw total energy, eV per atom: -3.6915
Space group: C2/m (12)


2.
DFT (GGA-PBE) results for a relaxed Co2Mo2As crystal.

Lattice parameters (Å, degrees): 5.8190 5.8190 4.0608 90.00 90.00 90.00
Sites, in units of the cell vectors:
Co (0.1406, 0.3594, 0.0000)
Co (0.3594, 0.8594, 0.0000)
Co (0.6406, 0.1406, 0.0000)
Co (0.8594, 0.6406, 0.0000)
Mo (0.1541, 0.6541, 0.5000)
Mo (0.3459, 0.1541, 0.5000)
Mo (0.6541, 0.8459, 0.5000)
Mo (0.8459, 0.3459, 0.5000)
As (0.0000, 0.0000, 0.0000)
As (0.5000, 0.5000, 0.0000)

Summary:
Energy above the most stable polymorph in this dataset, meV/atom: 0
V, Å³/atom: 13.7
Density of states at the Fermi level, states/eV/cell: 12.7
Formation energy from the elements, eV per atom: 0.1179
Raw total energy, eV per atom: -7.9868
Space group: P4/mbm (127)


3.
DFT (GGA-PBE) results for a relaxed CeMg6Au12 crystal.

Lattice parameters (Å, degrees): 7.7071 7.7071 7.7071 106.17 106.17 106.17
Sites, in units of the cell vectors:
Ce (0.0000, 0.0000, 0.0000)
Mg (0.2880, 0.2880, 0.6977)
Mg (0.2880, 0.6977, 0.2880)
Mg (0.3023, 0.7120, 0.7120)
Mg (0.6977, 0.2880, 0.2880)
Mg (0.7120, 0.3023, 0.7120)
Mg (0.7120, 0.7120, 0.3023)
Au (0.1124, 0.3624, 0.3624)
Au (0.1162, 0.5000, 0.8838)
Au (0.1162, 0.8838, 0.5000)
Au (0.3624, 0.1124, 0.3624)
Au (0.3624, 0.3624, 0.1124)
Au (0.5000, 0.1162, 0.8838)
Au (0.5000, 0.8838, 0.1162)
Au (0.6376, 0.6376, 0.8876)
Au (0.6376, 0.8876, 0.6376)
Au (0.8838, 0.1162, 0.5000)
Au (0.8838, 0.5000, 0.1162)
Au (0.8876, 0.6376, 0.6376)

Summary:
V, Å³/atom: 20.5
Density of states at the Fermi level, states/eV/cell: 16.0
Formation energy from the elements, eV per atom: -0.3917
Raw total energy, eV per atom: -3.2775
Space group: R-3m (166)


4.
DFT (GGA-PBE) results for a relaxed ZrInSi3 crystal.

Lattice parameters (Å, degrees): 4.9653 4.9653 4.9653 90.00 90.00 90.00
Sites, in units of the cell vectors:
Zr (0.0000, 0.0000, 0.0000)
In (0.5000, 0.5000, 0.5000)
Si (0.0000, 0.5000, 0.5000)
Si (0.5000, 0.0000, 0.5000)
Si (0.5000, 0.5000, 0.0000)

Summary:
Energy above the most stable polymorph in this dataset, meV/atom: 671
V, Å³/atom: 24.5
Density of states at the Fermi level, states/eV/cell: 5.4
Raw total energy, eV per atom: -4.2103
Space group: Pm-3m (221)
Formation energy without anion corrections, eV per atom: 1.30


5.
DFT (GGA-PBE) results for a relaxed YAlCd crystal.

Lattice parameters (Å, degrees): 8.7230 8.7230 8.7230 151.93 151.93 40.12
Sites, in units of the cell vectors:
Y (0.0000, 0.0000, 0.0000)
Y (0.7500, 0.2500, 0.5000)
Al (0.4236, 0.4236, 0.0000)
Al (0.5764, 0.5764, 0.0000)
Cd (0.1665, 0.6665, 0.5000)
Cd (0.3335, 0.8335, 0.5000)

Summary:
V, Å³/atom: 24.5
Density of states at the Fermi level, states/eV/cell: 4.4
Formation energy from the elements, eV per atom: -0.2603
Raw total energy, eV per atom: -3.9676
Space group: I-4m2 (119)


6.
DFT (GGA-PBE) results for a relaxed TaAlBr crystal.

Lattice parameters (Å, degrees): 9.9814 9.9814 3.6957 91.39 91.39 23.06
Sites, in units of the cell vectors:
Ta (0.0597, 0.0597, 0.2127)
Ta (0.9403, 0.9403, 0.7873)
Al (0.4532, 0.4532, 0.2605)
Al (0.5468, 0.5468, 0.7395)
Br (0.1669, 0.1669, 0.7486)
Br (0.8331, 0.8331, 0.2514)

Summary:
Energy above the most stable polymorph in this dataset, meV/atom: 83
V, Å³/atom: 24.0
Density of states at the Fermi level, states/eV/cell: 1.3
Raw total energy, eV per atom: -5.9235
Space group: C2/m (12)
Formation energy without anion corrections, eV per atom: -0.17


7.
DFT (GGA-PBE) results for a relaxed Sr2TbHfAs4 crystal.

Lattice parameters (Å, degrees): 7.1955 4.1314 7.5156 90.00 108.35 90.00
Sites, in units of the cell vectors:
Sr (0.0000, 0.0000, 0.0000)
Sr (0.5000, 0.5000, 0.0000)
Tb (0.0000, 0.5000, 0.5000)
Hf (0.5000, 0.0000, 0.5000)
As (0.2540, 0.0000, 0.7183)
As (0.2757, 0.5000, 0.2877)
As (0.7243, 0.5000, 0.7123)
As (0.7460, 0.0000, 0.2817)

Summary:
V, Å³/atom: 26.5
Density of states at the Fermi level, states/eV/cell: 3.8
Formation energy from the elements, eV per atom: -1.1585
Raw total energy, eV per atom: -5.7267
Space group: P2/m (10)


8.
DFT (GGA-PBE) results for a relaxed Ca3Zn3Ni2 crystal.

Lattice parameters (Å, degrees): 7.7834 15.0296 5.7082 90.00 90.00 90.00
Sites, in units of the cell vectors:
Ca (0.0385, 0.1072, 0.1159)
Ca (0.0385, 0.3928, 0.1159)
Ca (0.1804, 0.2500, 0.6221)
Ca (0.3196, 0.7500, 0.1221)
Ca (0.4615, 0.6072, 0.6159)
Ca (0.4615, 0.8928, 0.6159)
Ca (0.5385, 0.1072, 0.3841)
Ca (0.5385, 0.3928, 0.3841)
Ca (0.6804, 0.2500, 0.8779)
Ca (0.8196, 0.7500, 0.3779)
Ca (0.9615, 0.6072, 0.8841)
Ca (0.9615, 0.8928, 0.8841)
Zn (0.1663, 0.7500, 0.5901)
Zn (0.1706, 0.0373, 0.6078)
Zn (0.1706, 0.4627, 0.6078)
Zn (0.3294, 0.5373, 0.1078)
Zn (0.3294, 0.9627, 0.1078)
Zn (0.3337, 0.2500, 0.0901)
Zn (0.6663, 0.7500, 0.9099)
Zn (0.6706, 0.0373, 0.8922)
Zn (0.6706, 0.4627, 0.8922)
Zn (0.8294, 0.5373, 0.3922)
Zn (0.8294, 0.9627, 0.3922)
Zn (0.8337, 0.2500, 0.4099)
Ni (0.1211, 0.6042, 0.3852)
Ni (0.1211, 0.8958, 0.3852)
Ni (0.3789, 0.1042, 0.8852)
Ni (0.3789, 0.3958, 0.8852)
Ni (0.6211, 0.6042, 0.1148)
Ni (0.6211, 0.8958, 0.1148)
Ni (0.8789, 0.1042, 0.6148)
Ni (0.8789, 0.3958, 0.6148)

Summary:
V, Å³/atom: 20.9
Density of states at the Fermi level, states/eV/cell: 16.3
Formation energy from the elements, eV per atom: -0.2679
Raw total energy, eV per atom: -2.9415
Space group: Pnma (62)


9.
DFT (GGA-PBE) results for a relaxed K3MgPb2F9 crystal.

Lattice parameters (Å, degrees): 6.5014 6.5014 7.7234 90.00 90.00 120.00
Sites, in units of the cell vectors:
K (0.0000, 0.0000, 0.0000)
K (0.3333, 0.6667, 0.6927)
K (0.6667, 0.3333, 0.3073)
Mg (0.0000, 0.0000, 0.5000)
Pb (0.3333, 0.6667, 0.1977)
Pb (0.6667, 0.3333, 0.8023)
F (0.0000, 0.5000, 0.0000)
F (0.1453, 0.2907, 0.3474)
F (0.1453, 0.8547, 0.3474)
F (0.2907, 0.1453, 0.6526)
F (0.5000, 0.0000, 0.0000)
F (0.5000, 0.5000, 0.0000)
F (0.7093, 0.8547, 0.3474)
F (0.8547, 0.1453, 0.6526)
F (0.8547, 0.7093, 0.6526)

Summary:
V, Å³/atom: 18.8
Density of states at the Fermi level, states/eV/cell: 0.0
Raw total energy, eV per atom: -4.6737
Space group: P-3m1 (164)
Formation energy without anion corrections, eV per atom: -2.73


10.
DFT (GGA-PBE) results for a relaxed LaSeS2Cl crystal.

Lattice parameters (Å, degrees): 5.6286 5.6286 5.3254 90.00 90.00 90.00
Sites, in units of the cell vectors:
La (0.0000, 0.0000, 0.0000)
Se (0.5000, 0.5000, 0.5000)
S (0.0000, 0.5000, 0.0000)
S (0.5000, 0.0000, 0.0000)
Cl (0.0000, 0.0000, 0.5000)

Summary:
Energy above the most stable polymorph in this dataset, meV/atom: 262
V, Å³/atom: 33.7
Density of states at the Fermi level, states/eV/cell: 5.0
Raw total energy, eV per atom: -4.0725
Space group: P4/mmm (123)
Formation energy without anion corrections, eV per atom: -0.37


> What is the formula in the sixth record?

TaAlBr


> Which of these has the lowest density of states at the Fermi level?

K3MgPb2F9


> Which value of raw total energy does entry 7 give?

-5.7267 eV per atom